Entry 1:
BaNdSm2 | GGA-PBE | relaxed

Computed properties:
DFT total energy = -15.6 eV for the cell shown
Energy relative to the lowest polymorph listed for this composition = 0 kJ/mol of formula units
M_tot = 0.000 μB/atom

The structure in POSCAR format:
```
BaNdSm2
1.0
-2.0755 -1.4906 -2.7694
-0.9685 -2.8539 2.2619
-8.7402 5.7184 3.4725
Ba Sm Nd
1 2 1
Direct
0.5000 0.5000 0.5000
0.0000 0.0000 0.2207
0.0000 0.0000 0.7793
0.5000 0.5000 0.0000
```

Entry 2:
BaNd2Sm | GGA-PBE | relaxed

Computed properties:
DFT total energy = -15.4 eV for the cell shown
Energy relative to the lowest polymorph listed for this composition = 34 kJ/mol of formula units
M_tot = 0.000 μB/atom

The structure in POSCAR format:
```
BaNd2Sm
1.0
-2.0342 4.8558 1.2029
-4.7311 -2.2571 1.1107
1.5015 -0.6354 5.1043
Nd Sm Ba
2 1 1
Direct
0.0000 0.5000 0.0000
0.0000 0.0000 0.5000
0.5000 0.5000 0.5000
0.5000 0.0000 0.0000
```

Entry 3:
BaNd2Sm | GGA-PBE | relaxed

Computed properties:
DFT total energy = -15.7 eV for the cell shown
Energy relative to the lowest polymorph listed for this composition = 0 kJ/mol of formula units
M_tot = 0.000 μB/atom

The structure in POSCAR format:
```
BaNd2Sm
1.0
-1.3291 3.0655 -1.7699
-3.4993 -0.8529 1.1506
1.5573 5.9607 9.1549
Ba Nd Sm
1 2 1
Direct
0.5000 0.5000 0.5000
0.0000 0.0000 0.7805
0.0000 0.0000 0.2195
0.5000 0.5000 0.0000
```

Entry 4:
BaNd2Sm | GGA-PBE | relaxed

Computed properties:
DFT total energy = -15.4 eV for the cell shown
Energy relative to the lowest polymorph listed for this composition = 31 kJ/mol of formula units
M_tot = 0.000 μB/atom

The structure in POSCAR format:
```
BaNd2Sm
1.0
3.7060 0.0000 0.0000
1.8530 3.2094 0.0000
1.8530 1.0698 13.2029
Nd Sm Ba
2 1 1
Direct
0.9069 0.9069 0.2794
0.0931 0.0931 0.7206
0.5000 0.5000 0.5000
0.0000 0.0000 0.0000
```

Entry 5:
BaNdSm2 | GGA-PBE | relaxed

Computed properties:
DFT total energy = -15.3 eV for the cell shown
Energy relative to the lowest polymorph listed for this composition = 31 kJ/mol of formula units
M_tot = 0.000 μB/atom

The structure in POSCAR format:
```
BaNdSm2
1.0
3.6926 0.0000 0.0000
1.8463 3.1978 0.0000
1.8463 1.0659 13.1275
Sm Nd Ba
2 1 1
Direct
0.9071 0.9071 0.2786
0.0929 0.0929 0.7214
0.5000 0.5000 0.5000
0.0000 0.0000 0.0000
```

Entry 6:
BaNd3Sm2Te6 | GGA-PBE | relaxed

Computed properties:
DFT total energy = -61.8 eV for the cell shown
M_tot = 0.000 μB/atom

The structure in POSCAR format:
```
BaNd3Sm2Te6
1.0
4.5324 0.0000 0.0000
0.0000 9.1736 0.3080
-2.2662 -2.6658 9.5532
Sm Te Ba Nd
2 6 1 3
Direct
0.1704 0.3419 0.3408
0.8296 0.6581 0.6592
0.3338 0.4220 0.6676
0.6746 0.0872 0.3492
0.3254 0.9128 0.6508
0.0053 0.2666 0.0105
0.6662 0.5780 0.3324
0.9947 0.7334 0.9895
0.5000 0.0000 0.0000
0.5000 0.5000 0.0000
0.1611 0.8178 0.3222
0.8389 0.1822 0.6778
```

> What is the M_tot in the sixth record?

0.000 μB/atom

> DFT total energy of number 5 (BaNdSm2)?

-15.3 eV for the cell shown